No. 1
Mg2TlTc: relaxed, GGA-PBE.

a = 5.848 Å, b = 8.744 Å, c = 2.976 Å
α = 90.00°, β = 90.13°, γ = 90.00°
Space group C2/m (No. 12)
One atom of each set of equivalent atoms:
Mg 0.250 0.250 0.000 [4 per cell]
Tl 0.000 0.000 0.500 [2 per cell]
Tc 0.000 0.500 0.500 [2 per cell]

Total magnetization ... 0.00 μB per formula unit
Energy relative to the lowest polymorph listed for this composition ... 86 meV/atom
Energy relative to the elements ... 0.299 eV per atom

---

No. 2
Mg4TlTc: relaxed, GGA-PBE.

a = 7.889 Å, b = 7.889 Å, c = 7.889 Å
α = 90.00°, β = 90.00°, γ = 90.00°
Space group F-43m (No. 216)
One atom of each set of equivalent atoms:
Mg 0.124 0.124 0.124 [16 per cell]
Tl 0.000 0.000 0.500 [4 per cell]
Tc 0.250 0.250 0.750 [4 per cell]

Total magnetization ... 1.56 μB per formula unit
Energy relative to the elements ... 0.480 eV per atom

---

No. 3
Mg2TlTc: relaxed, GGA-PBE.

a = 9.918 Å, b = 2.940 Å, c = 5.309 Å
α = 90.00°, β = 96.99°, γ = 90.00°
Space group Cm (No. 8)
One atom of each set of equivalent atoms:
Mg 0.000 0.000 0.000 [2 per cell]
Mg 0.238 0.000 0.732 [2 per cell]
Tl 0.255 0.500 0.259 [2 per cell]
Tc 0.499 0.000 0.521 [2 per cell]

Total magnetization ... 0.00 μB per formula unit
Energy relative to the lowest polymorph listed for this composition ... 92 meV/atom
Energy relative to the elements ... 0.306 eV per atom

---

No. 4
Tm2MgTc: relaxed, GGA-PBE.

a = 4.853 Å, b = 4.853 Å, c = 3.715 Å
α = 90.00°, β = 90.00°, γ = 90.00°
Space group P4/mmm (No. 123)
One atom of each set of equivalent atoms:
Tm 0.000 0.500 0.000 [2 per cell]
Mg 0.000 0.000 0.500 [1 per cell]
Tc 0.500 0.500 0.500 [1 per cell]

Total magnetization ... 0.00 μB per formula unit
Energy relative to the lowest polymorph listed for this composition ... 160 meV/atom
Energy relative to the elements ... 0.038 eV per atom

---

No. 5
Tm5Mg2Tc2: relaxed, GGA-PBE.

a = 17.502 Å, b = 7.259 Å, c = 7.406 Å
α = 90.00°, β = 90.00°, γ = 90.00°
Space group Cmce (No. 64)
One atom of each set of equivalent atoms:
Tm 0.000 0.000 0.000 [4 per cell]
Tm 0.114 0.182 0.316 [16 per cell]
Mg 0.232 0.000 0.000 [8 per cell]
Tc 0.000 0.112 0.620 [8 per cell]

Total magnetization ... 0.00 μB per formula unit
Energy relative to the elements ... -0.045 eV per atom

---

No. 6
Tm4MgTc: relaxed, GGA-PBE.

a = 5.586 Å, b = 6.553 Å, c = 8.648 Å
α = 90.00°, β = 97.94°, γ = 90.00°
Space group P2_1/m (No. 11)
One atom of each set of equivalent atoms:
Tm 0.149 0.250 0.069 [2 per cell]
Tm 0.219 0.750 0.357 [2 per cell]
Tm 0.323 0.506 0.771 [4 per cell]
Mg 0.235 0.250 0.438 [2 per cell]
Tc 0.347 0.750 0.052 [2 per cell]

Total magnetization ... 0.00 μB per formula unit
Energy relative to the lowest polymorph listed for this composition ... 0 meV/atom
Energy relative to the elements ... -0.081 eV per atom

---

No. 7
Tm6MgTc2: relaxed, GGA-PBE.

a = 9.447 Å, b = 9.448 Å, c = 10.334 Å
α = 90.00°, β = 90.00°, γ = 90.00°
Space group Immm (No. 71)
One atom of each set of equivalent atoms:
Tm 0.000 0.213 0.237 [8 per cell]
Tm 0.203 0.500 0.184 [8 per cell]
Tm 0.217 0.310 0.500 [8 per cell]
Mg 0.000 0.000 0.000 [2 per cell]
Mg 0.000 0.000 0.500 [2 per cell]
Tc 0.000 0.365 0.000 [4 per cell]
Tc 0.000 0.500 0.384 [4 per cell]

Total magnetization ... 0.00 μB per formula unit
Energy relative to the elements ... -0.090 eV per atom

---

No. 8
Tm3Mg2Tc: relaxed, GGA-PBE.

a = 4.978 Å, b = 14.763 Å, c = 7.917 Å
α = 90.00°, β = 90.00°, γ = 90.00°
Space group Cmmm (No. 65)
One atom of each set of equivalent atoms:
Tm 0.000 0.000 0.217 [4 per cell]
Tm 0.000 0.325 0.207 [8 per cell]
Mg 0.000 0.166 0.500 [4 per cell]
Mg 0.000 0.500 0.000 [2 per cell]
Mg 0.000 0.500 0.500 [2 per cell]
Tc 0.000 0.160 0.000 [4 per cell]

Total magnetization ... 0.00 μB per formula unit
Energy relative to the elements ... -0.108 eV per atom

---

No. 9
Tm5Mg2Tc: relaxed, GGA-PBE.

a = 6.494 Å, b = 12.322 Å, c = 5.101 Å
α = 90.00°, β = 90.00°, γ = 90.00°
Space group Pbam (No. 55)
One atom of each set of equivalent atoms:
Tm 0.000 0.000 0.000 [2 per cell]
Tm 0.117 0.283 0.000 [4 per cell]
Tm 0.158 0.602 0.500 [4 per cell]
Mg 0.145 0.866 0.500 [4 per cell]
Tc 0.000 0.500 0.000 [2 per cell]

Total magnetization ... 0.00 μB per formula unit
Energy relative to the elements ... -0.047 eV per atom

---

No. 10
Tm2MgTc: relaxed, GGA-PBE.

a = 7.028 Å, b = 7.028 Å, c = 7.028 Å
α = 90.00°, β = 90.00°, γ = 90.00°
Space group Fm-3m (No. 225)
One atom of each set of equivalent atoms:
Tm 0.250 0.250 0.250 [8 per cell]
Mg 0.000 0.000 0.000 [4 per cell]
Tc 0.000 0.000 0.500 [4 per cell]

Total magnetization ... 0.00 μB per formula unit
Energy relative to the lowest polymorph listed for this composition ... 75 meV/atom
Energy relative to the elements ... -0.047 eV per atom

---

No. 11
Tm2MgTc: relaxed, GGA-PBE.

a = 3.3428 Å, b = 3.3428 Å, c = 31.9532 Å
α = 90.00°, β = 90.00°, γ = 120.00°
Space group R-3m (No. 166, hexagonal axes)
One atom of each set of equivalent atoms:
Tm 0.0000 0.0000 0.1037 [6 per cell]
Mg 0.0000 0.0000 0.0000 [3 per cell]
Tc 0.0000 0.0000 0.5000 [3 per cell]

Total magnetization ... 0.00 μB per formula unit
Energy relative to the lowest polymorph listed for this composition ... 344 meV/atom
Energy relative to the elements ... 0.222 eV per atom

---

No. 12
Tm4MgTc: relaxed, GGA-PBE.

a = 11.979 Å, b = 3.536 Å, c = 9.150 Å
α = 90.00°, β = 121.76°, γ = 90.00°
Space group C2/m (No. 12)
One atom of each set of equivalent atoms:
Tm 0.102 0.000 0.372 [4 per cell]
Tm 0.211 0.500 0.809 [4 per cell]
Mg 0.000 0.500 0.000 [2 per cell]
Tc 0.000 0.500 0.500 [2 per cell]

Total magnetization ... 0.00 μB per formula unit
Energy relative to the lowest polymorph listed for this composition ... 97 meV/atom
Energy relative to the elements ... 0.016 eV per atom

---

No. 13
Tm4Mg5Tc2: relaxed, GGA-PBE.

a = 7.784 Å, b = 3.556 Å, c = 9.819 Å
α = 90.00°, β = 94.03°, γ = 90.00°
Space group P2/m (No. 10)
One atom of each set of equivalent atoms:
Tm 0.169 0.000 0.354 [2 per cell]
Tm 0.200 0.000 0.950 [2 per cell]
Mg 0.183 0.500 0.662 [2 per cell]
Mg 0.441 0.500 0.174 [2 per cell]
Mg 0.500 0.500 0.500 [1 per cell]
Tc 0.075 0.500 0.148 [2 per cell]

Total magnetization ... 0.00 μB per formula unit
Energy relative to the elements ... -0.025 eV per atom

---

No. 14
Tm2MgTc: relaxed, GGA-PBE.

a = 3.440 Å, b = 3.440 Å, c = 7.964 Å
α = 90.00°, β = 90.00°, γ = 90.00°
Space group P4/mmm (No. 123)
One atom of each set of equivalent atoms:
Tm 0.000 0.000 0.201 [2 per cell]
Mg 0.500 0.500 0.500 [1 per cell]
Tc 0.500 0.500 0.000 [1 per cell]

Total magnetization ... 0.00 μB per formula unit
Energy relative to the lowest polymorph listed for this composition ... 0 meV/atom
Energy relative to the elements ... -0.122 eV per atom

---

No. 15
Tm8Mg2Tc: relaxed, GGA-PBE.

a = 5.448 Å, b = 6.938 Å, c = 16.073 Å
α = 90.00°, β = 90.00°, γ = 90.00°
Space group Immm (No. 71)
One atom of each set of equivalent atoms:
Tm 0.000 0.000 0.189 [4 per cell]
Tm 0.000 0.239 0.000 [4 per cell]
Tm 0.000 0.242 0.375 [8 per cell]
Mg 0.000 0.500 0.188 [4 per cell]
Tc 0.000 0.500 0.500 [2 per cell]

Total magnetization ... 0.00 μB per formula unit
Energy relative to the elements ... -0.016 eV per atom

---

No. 16
YTmMgTc: relaxed, GGA-PBE.

a = 7.085 Å, b = 7.085 Å, c = 7.085 Å
α = 90.00°, β = 90.00°, γ = 90.00°
Space group F-43m (No. 216)
One atom of each set of equivalent atoms:
Y 0.000 0.000 0.000 [4 per cell]
Tm 0.000 0.000 0.500 [4 per cell]
Mg 0.250 0.250 0.750 [4 per cell]
Tc 0.250 0.250 0.250 [4 per cell]

Total magnetization ... 0.00 μB per formula unit
Energy relative to the elements ... -0.023 eV per atom

---

No. 17
TmMgZrTc: relaxed, GGA-PBE.

a = 6.894 Å, b = 6.894 Å, c = 6.894 Å
α = 90.00°, β = 90.00°, γ = 90.00°
Space group F-43m (No. 216)
One atom of each set of equivalent atoms:
Tm 0.000 0.000 0.000 [4 per cell]
Mg 0.250 0.250 0.250 [4 per cell]
Zr 0.000 0.000 0.500 [4 per cell]
Tc 0.250 0.250 0.750 [4 per cell]

Total magnetization ... 0.00 μB per formula unit
Energy relative to the elements ... -0.080 eV per atom

---

No. 18
MgU2Tc4: relaxed, GGA-PBE.

a = 5.939 Å, b = 5.939 Å, c = 7.208 Å
α = 90.00°, β = 90.00°, γ = 90.00°
Space group I4/mmm (No. 139)
One atom of each set of equivalent atoms:
Mg 0.000 0.000 0.000 [2 per cell]
U 0.000 0.500 0.000 [4 per cell]
Tc 0.250 0.250 0.250 [8 per cell]

Total magnetization ... 0.00 μB per formula unit
Energy relative to the elements ... 0.258 eV per atom

---

No. 19
Mg3VTc: relaxed, GGA-PBE.

a = 4.945 Å, b = 4.945 Å, c = 4.945 Å
α = 90.00°, β = 90.00°, γ = 90.00°
Space group Pm-3m (No. 221)
One atom of each set of equivalent atoms:
Mg 0.000 0.000 0.500 [3 per cell]
V 0.500 0.500 0.500 [1 per cell]
Tc 0.000 0.000 0.000 [1 per cell]

Total magnetization ... 3.02 μB per formula unit
Energy relative to the lowest polymorph listed for this composition ... 0 meV/atom
Energy relative to the elements ... 1.108 eV per atom

---

No. 20
Mg2VTc: relaxed, GGA-PBE.

a = 7.303 Å, b = 7.303 Å, c = 5.299 Å
α = 90.00°, β = 90.00°, γ = 90.00°
Space group I-42d (No. 122)
One atom of each set of equivalent atoms:
Mg 0.244 0.250 0.125 [8 per cell]
V 0.000 0.000 0.500 [4 per cell]
Tc 0.000 0.000 0.000 [4 per cell]

Total magnetization ... 1.94 μB per formula unit
Energy relative to the lowest polymorph listed for this composition ... 247 meV/atom
Energy relative to the elements ... 0.782 eV per atom